## Dy3Hg3Au2 (PBE-GGA)

Data for an optimized crystal structure of Dy3Hg3Au2.

Unit cell a=7.8096 b=7.8096 c=3.6557 alpha=90.00 beta=90.00 gamma=120.00
Last column: nearest neighbours and their distance in Å.
Space group P-62m (No. 189)
Asymmetric unit:
1 Dy 0.0000 0.5930 0.0000 [3 per cell]  4 Au 2.99, 4 Hg 3.31
2 Hg 0.0000 0.2318 0.5000 [3 per cell]  2 Au 3.08, 2 Hg 3.13, 6 Dy 3.31-3.36
3 Au 0.3333 0.6667 0.5000 [2 per cell]  6 Dy 2.99, 3 Hg 3.08

The value obtained for the density of states at the Fermi level is 4.7 states/eV/cell. As for the final energy: -3.28 eV per atom. The total magnetic moment is 0.00 μB/cell. For the energy of formation from the pure elements, the calculation gives -623 meV/atom.